{
  "formula": "CdWSe",
  "functional": "PBE-GGA",
  "state": "optimized geometry",
  "lattice_angstrom": [[4.8589, 0.0000, 0.0000], [-2.4294, 4.2079, 0.0000], [0.0000, 0.0000, 2.7079]],
  "species": ["Cd", "W", "Se"],
  "frac_coords": [[0.0000, 0.0000, 0.0000], [0.3333, 0.6667, 0.5000], [0.6667, 0.3333, 0.5000]],
  "final_energy_ev_per_atom": -5.11,
  "e_above_lowest_polymorph_mev_per_atom": 579,
  "spacegroup": "P-6m2 (187)",
  "formation_energy_uncorrected_kj_per_mol_atoms": 64.98
}